No. 1
! Ta2ZnGa, optimized geometry, DFT PBE; values from VASP
! DFT formation energy, eV/atom: -0.0762
! Space group: No. 123
! Crystal system: tetragonal
&SYSTEM
  ibrav = 0, nat = 4, ntyp = 3
/
ATOMIC_SPECIES
Ta 180.95 Ta.upf
Zn 65.41 Zn.upf
Ga 69.72 Ga.upf
CELL_PARAMETERS angstrom
3.972 0.000 0.000
0.000 3.972 0.000
0.000 0.000 4.155
ATOMIC_POSITIONS angstrom
Ta 0.000 1.986 0.000
Ta 1.986 0.000 0.000
Zn 0.000 0.000 2.077
Ga 1.986 1.986 2.077


No. 2
! TaZn2Ga2, optimized geometry, DFT PBE; values from VASP
! DFT formation energy, eV/atom: 0.1180
! E above lowest polymorph, eV per atom: 0.000
! Space group: No. 127
! Crystal system: tetragonal
&SYSTEM
  ibrav = 0, nat = 10, ntyp = 3
/
ATOMIC_SPECIES
Ta 180.95 Ta.upf
Zn 65.41 Zn.upf
Ga 69.72 Ga.upf
CELL_PARAMETERS angstrom
7.287 0.000 0.000
0.000 7.287 0.000
0.000 0.000 3.028
ATOMIC_POSITIONS angstrom
Ta 0.000 0.000 0.000
Ta 3.643 3.643 0.000
Zn 1.163 2.480 1.514
Zn 2.480 6.124 1.514
Zn 4.807 1.163 1.514
Zn 6.124 4.807 1.514
Ga 1.022 4.666 0.000
Ga 2.621 1.022 0.000
Ga 4.666 6.264 0.000
Ga 6.264 2.621 0.000